Here is Hf3SbF at its PBEsol-relaxed geometry from Alexandria. Energies are from SCAN.

abc: 4.469 4.469 4.469
angles: 90.00 90.00 90.00
Site moments in Bohr magnetons follow the coordinates.
Atoms (fractional coordinates):
Hf 0.000 0.500 0.000  0.30
Hf 0.000 0.000 0.500  0.30
Hf 0.500 0.000 0.000  0.30
Sb 0.500 0.500 0.500  0.00
F 0.000 0.000 0.000  0.02

The formation energy without anion corrections is -0.57 eV/atom.



Here is In2ReTc at its PBEsol-relaxed geometry from Alexandria. Energies are from SCAN.

abc: 2.975 2.975 8.302
angles: 90.00 90.00 90.00
Atoms (fractional coordinates):
Tc 0.500 0.500 0.712
Re 0.000 0.000 0.540
In 0.500 0.500 0.290
In 0.000 0.000 0.958

The calculation puts the energy relative to the elements at 0.1632 eV/atom.



Here is RbNaO2F at its PBEsol-relaxed geometry from Alexandria. Energies are from SCAN.

abc: 4.425 4.425 5.038
angles: 90.00 90.00 90.00
Site moments in Bohr magnetons follow the coordinates.
Atoms (fractional coordinates):
F 0.000 0.000 0.500  0.09
Rb 0.000 0.000 0.000  0.04
Na 0.500 0.500 0.500  0.00
O 0.500 0.000 0.000  0.50
O 0.000 0.500 0.000  0.50

The formation energy without anion corrections is -0.25 eV/atom.



Here is Ca3SF at its PBEsol-relaxed geometry from Alexandria. Energies are from SCAN.

abc: 4.841 4.841 4.841
angles: 90.00 90.00 90.00
Site moments in Bohr magnetons follow the coordinates.
Atoms (fractional coordinates):
Ca 0.000 0.000 0.500  0.30
Ca 0.500 0.000 0.000  0.30
Ca 0.000 0.500 0.000  0.30
S 0.500 0.500 0.500  -0.03
F 0.000 0.000 0.000  0.04

The formation energy without anion corrections is -1.21 eV/atom.



Here is ZrHOs2 at its PBEsol-relaxed geometry from Alexandria. Energies are from SCAN.

abc: 4.297 4.297 4.297
angles: 60.00 60.00 60.00
Atoms (fractional coordinates):
Os 0.750 0.750 0.750
Os 0.250 0.250 0.250
Zr 0.500 0.500 0.500
H 0.000 0.000 0.000



Here is BaInSi2Mo at its PBEsol-relaxed geometry from Alexandria. Energies are from SCAN.

abc: 5.267 5.531 5.531
angles: 90.00 90.00 90.00
Site moments in Bohr magnetons follow the coordinates.
Atoms (fractional coordinates):
Ba 0.000 0.000 0.000  0.06
Mo 0.500 0.000 0.000  3.37
Si 0.000 0.000 0.500  -0.06
Si 0.000 0.500 0.000  -0.06
In 0.500 0.500 0.500  0.01

The formation energy without anion corrections is 2.27 eV/atom.



Here is Os3WN at its PBEsol-relaxed geometry from Alexandria. Energies are from SCAN.

abc: 4.018 4.018 4.018
angles: 90.00 90.00 90.00
Atoms (fractional coordinates):
Os 0.000 0.500 0.000
Os 0.500 0.000 0.000
Os 0.000 0.000 0.500
N 0.000 0.000 0.000
W 0.500 0.500 0.500

The formation energy without anion corrections is 0.73 eV/atom.



Here is Mn3Cu3Te2O16 at its PBEsol-relaxed geometry from Alexandria. Energies are from SCAN.

abc: 5.640 5.875 9.153
angles: 93.72 90.00 118.68
Site moments in Bohr magnetons follow the coordinates.
Atoms (fractional coordinates):
Cu 0.666 0.837 0.210  -0.25
Cu 0.171 0.837 0.210  -0.25
Cu 0.831 0.663 0.714  -0.88
O 0.009 0.018 0.298  0.03
O 0.665 0.830 0.600  -0.05
O 0.651 0.302 0.608  -0.07
O 0.014 0.028 0.805  -0.03
O 0.850 0.701 0.086  -0.04
O 0.469 0.939 0.349  -0.09
O 0.353 0.199 0.092  0.03
O 0.967 0.473 0.838  -0.13
O 0.846 0.199 0.092  0.03
O 0.165 0.830 0.600  -0.05
O 0.526 0.051 0.833  -0.03
O 0.013 0.470 0.353  0.03
O 0.457 0.470 0.353  0.03
O 0.507 0.473 0.838  -0.13
O 0.322 0.644 0.122  -0.04
O 0.166 0.331 0.605  0.07
Mn 0.337 0.171 0.710  2.75
Mn 0.168 0.336 0.216  2.67
Mn 0.834 0.171 0.710  2.75
Te 0.678 0.356 0.989  0.02
Te 0.327 0.653 0.486  0.01

The formation energy without anion corrections is -1.26 eV/atom.



no.,total DFT energy (no corrections) (eV per atom)
1,-46.3372
2,-43.0694
3,-8.4459
4,-9.6411
5,-43.5521
6,-23.2971
7,-58.1956
8,-12.6981